An optimized crystal structure of Pm2Mg3Sn3. Source: Alexandria, functional PBE-GGA.

Output
**V**: 25.335 Å³ per atom
**Energy of formation**: -0.48 eV/atom
**M_tot**: 0.00 μB per cell
**VASP energy**: -3.77 eV per atom

abc: 4.7722 4.6827 9.0698
angles: 90.00 90.00 90.00
Last column: nearest neighbours and their distance in Å.
Positions (direct):
Pm 0.0000 0.0000 0.7436  6 Sn 3.22-3.30, 6 Mg 3.33-3.34
Pm 0.0000 0.0000 0.2564  6 Sn 3.22-3.30, 6 Mg 3.33-3.34
Mg 0.5000 0.5000 0.7547  2 Mg 3.23, 6 Sn 3.26-3.32, 4 Pm 3.34
Mg 0.5000 0.5000 0.2453  2 Mg 3.23, 6 Sn 3.26-3.32, 4 Pm 3.34
Mg 0.5000 0.0000 0.0000  4 Mg 3.23, 4 Pm 3.33, 4 Sn 3.34
Sn 0.5000 0.0000 0.5000  4 Pm 3.25, 4 Mg 3.29, 4 Sn 3.34
Sn 0.0000 0.5000 0.0000  8 Mg 3.26-3.34, 4 Pm 3.30
Sn 0.0000 0.5000 0.5000  4 Pm 3.22, 4 Mg 3.32, 4 Sn 3.34



An optimized crystal structure of AcPmThTl. Source: Alexandria, functional PBE-GGA.

Output
**V**: 32.712 Å³ per atom
**Energy of formation**: 0.09 eV/atom
**M_tot**: 0.00 μB per cell
**VASP energy**: -4.57 eV per atom

abc: 5.6985 5.6985 5.6985
angles: 60.00 60.00 60.00
Last column: nearest neighbours and their distance in Å.
Positions (direct):
Ac 0.5000 0.5000 0.5000  4 Th 3.49, 4 Pm 3.49
Tl 0.0000 0.0000 0.0000  4 Pm 3.49, 4 Th 3.49
Th 0.2500 0.2500 0.2500  4 Tl 3.49, 4 Ac 3.49
Pm 0.7500 0.7500 0.7500  4 Tl 3.49, 4 Ac 3.49



An optimized crystal structure of Sr2Zn3Ni12Ir. Source: Alexandria, functional PBE-GGA.

Output
**V**: 15.561 Å³ per atom
**Energy of formation**: 0.19 eV/atom
**M_tot**: 0.00 μB per cell
**VASP energy**: -4.55 eV per atom

abc: 9.6370 9.6370 9.6370
angles: 36.26 36.26 36.26
Last column: nearest neighbours and their distance in Å.
Positions (direct):
Sr 0.6535 0.6535 0.6535  12 Ni 3.11-3.44, 3 Ir 3.48
Sr 0.3465 0.3465 0.3465  12 Ni 3.11-3.44, 3 Ir 3.48
Zn 0.5000 0.0000 0.0000  6 Ni 2.37-2.50
Zn 0.0000 0.5000 0.0000  6 Ni 2.37-2.50
Zn 0.0000 0.0000 0.5000  6 Ni 2.37-2.50
Ni 0.4192 0.4192 0.8112  4 Ni 2.35-2.37, 2 Zn 2.37
Ni 0.9388 0.9388 0.3463  4 Ni 2.37-2.44, 1 Ir 2.46, 1 Zn 2.50
Ni 0.3463 0.9388 0.9388  4 Ni 2.37-2.44, 1 Ir 2.46, 1 Zn 2.50
Ni 0.8112 0.4192 0.4192  4 Ni 2.35-2.37, 2 Zn 2.37
Ni 0.9388 0.3463 0.9388  4 Ni 2.37-2.44, 1 Ir 2.46, 1 Zn 2.50
Ni 0.4192 0.8112 0.4192  4 Ni 2.35-2.37, 2 Zn 2.37
Ni 0.5808 0.5808 0.1888  4 Ni 2.35-2.37, 2 Zn 2.37
Ni 0.0612 0.0612 0.6537  4 Ni 2.37-2.44, 1 Ir 2.46, 1 Zn 2.50
Ni 0.6537 0.0612 0.0612  4 Ni 2.37-2.44, 1 Ir 2.46, 1 Zn 2.50
Ni 0.1888 0.5808 0.5808  4 Ni 2.35-2.37, 2 Zn 2.37
Ni 0.0612 0.6537 0.0612  4 Ni 2.37-2.44, 1 Ir 2.46, 1 Zn 2.50
Ni 0.5808 0.1888 0.5808  4 Ni 2.35-2.37, 2 Zn 2.37
Ir 0.0000 0.0000 0.0000  6 Ni 2.46



An optimized crystal structure of Tm3Ni2Te. Source: Alexandria, functional PBE-GGA.

Output
**E_form (uncorrected)**: -0.6729 eV/atom
**V**: 22.786 Å³ per atom
**M_tot**: 0.00 μB per cell
**VASP energy**: -5.36 eV per atom

abc: 3.8985 7.3609 9.5282
angles: 90.00 90.00 90.00
Last column: nearest neighbours and their distance in Å.
Positions (direct):
Tm 0.5000 0.1382 0.1358  3 Ni 2.79-2.97
Tm 0.5000 0.2127 0.7132  4 Ni 2.78-2.95
Tm 0.0000 0.3377 0.4255  6 Ni 2.77-2.86
Tm 0.5000 0.6382 0.8642  3 Ni 2.79-2.97
Tm 0.5000 0.7127 0.2868  4 Ni 2.78-2.95
Tm 0.0000 0.8377 0.5745  6 Ni 2.77-2.86
Ni 0.0000 0.9810 0.3061  2 Ni 2.41
Ni 0.5000 0.0595 0.4418  2 Ni 2.41
Ni 0.0000 0.4810 0.6939  2 Ni 2.41
Ni 0.5000 0.5595 0.5582  2 Ni 2.41
Te 0.0000 0.9721 0.9043  7 Tm 3.16-3.29
Te 0.0000 0.4721 0.0957  7 Tm 3.16-3.29



An optimized crystal structure of Cs2SBr6Cl. Source: Alexandria, functional PBE-GGA.

Output
**E_form (uncorrected)**: -0.7173 eV/atom
**V**: 36.133 Å³ per atom
**M_tot**: 0.00 μB per cell
**VASP energy**: -2.49 eV per atom

abc: 8.3708 8.3708 7.8502
angles: 57.78 57.78 90.00
Last column: nearest neighbours and their distance in Å.
Positions (direct):
Cs 0.7500 0.2500 0.5000  12 Br 3.95-4.19
Cs 0.2500 0.7500 0.5000  12 Br 3.95-4.19
S 0.5000 0.5000 0.0000  6 Br 2.52-2.61
Br 0.2470 0.2470 0.5061  1 Cl 2.55, 1 S 2.61
Br 0.7530 0.7530 0.4939  1 Cl 2.55, 1 S 2.61
Br 0.2872 0.2872 0.0000  1 S 2.52
Br 0.7128 0.7128 0.0000  1 S 2.52
Br 0.7128 0.2872 0.0000  1 S 2.52
Br 0.2872 0.7128 0.0000  1 S 2.52
Cl 0.0000 0.0000 0.0000  2 Br 2.55



An optimized crystal structure of TbGdZnSi. Source: Alexandria, functional PBE-GGA.

Output
**E_form (uncorrected)**: -0.4631 eV/atom
**V**: 22.232 Å³ per atom
**M_tot**: 7.12 μB per cell
**VASP energy**: -6.82 eV per atom

abc: 5.0102 5.0102 5.0102
angles: 60.00 60.00 60.00
Last column: nearest neighbours and their distance in Å.
Positions (direct):
Zn 0.7500 0.7500 0.7500  4 Tb 3.07, 4 Gd 3.07
Gd 0.5000 0.5000 0.5000  4 Si 3.07, 4 Zn 3.07
Tb 0.0000 0.0000 0.0000  4 Zn 3.07, 4 Si 3.07
Si 0.2500 0.2500 0.2500  4 Gd 3.07, 4 Tb 3.07



An optimized crystal structure of AsAu5. Source: Alexandria, functional PBE-GGA.

Output
**V**: 18.342 Å³ per atom
**Energy of formation**: 0.08 eV/atom
**M_tot**: 0.00 μB per cell
**VASP energy**: -3.42 eV per atom

abc: 2.9267 2.9267 12.8478
angles: 90.00 90.00 90.00
Last column: nearest neighbours and their distance in Å.
Positions (direct):
As 0.5000 0.5000 0.0000  4 As 2.93, 8 Au 2.99
Au 0.0000 0.0000 0.8315  8 Au 2.93-2.98, 4 As 2.99
Au 0.0000 0.0000 0.1685  8 Au 2.93-2.98, 4 As 2.99
Au 0.5000 0.5000 0.6647  12 Au 2.93-2.98
Au 0.5000 0.5000 0.3353  12 Au 2.93-2.98
Au 0.0000 0.0000 0.5000  12 Au 2.93-2.96



An optimized crystal structure of PrYErIn. Source: Alexandria, functional PBE-GGA.

Output
**V**: 29.478 Å³ per atom
**Energy of formation**: -0.26 eV/atom
**Distance to the lowest polymorph of the same formula**: 0.00 kcal/mol of atoms
**M_tot**: 0.26 μB per cell
**VASP energy**: -4.90 eV per atom

abc: 4.9009 4.8579 4.9525
angles: 90.00 90.00 90.00
Last column: nearest neighbours and their distance in Å.
Positions (direct):
Pr 0.0000 0.5000 0.5000  4 Er 3.45, 4 Y 3.47, 4 In 3.48
Y 0.0000 0.0000 0.0000  4 In 3.45, 4 Pr 3.47, 4 Er 3.48
Er 0.5000 0.0000 0.5000  4 Pr 3.45, 4 In 3.47, 4 Y 3.48
In 0.5000 0.5000 0.0000  4 Y 3.45, 4 Er 3.47, 4 Pr 3.48



An optimized crystal structure of Ac2Zn3Pt. Source: Alexandria, functional PBE-GGA.

Output
**V**: 24.855 Å³ per atom
**Energy of formation**: -0.59 eV/atom
**Distance to the lowest polymorph of the same formula**: 0.09 kcal/mol of atoms
**M_tot**: 0.00 μB per cell
**VASP energy**: -3.60 eV per atom

abc: 6.1625 6.1625 9.1349
angles: 111.94 111.94 83.80
Last column: nearest neighbours and their distance in Å.
Positions (direct):
Ac 0.7500 0.2500 0.5000  8 Zn 3.34-3.35, 4 Pt 3.35
Ac 0.7411 0.2589 0.0000  2 Pt 3.29, 10 Zn 3.31-3.39
Ac 0.2500 0.7500 0.5000  8 Zn 3.34-3.35, 4 Pt 3.35
Ac 0.2589 0.7411 0.0000  2 Pt 3.29, 10 Zn 3.31-3.39
Zn 0.8342 0.8342 0.1664  2 Zn 2.63-2.64, 1 Pt 2.65
Zn 0.6678 0.6678 0.8336  2 Zn 2.63-2.64, 1 Pt 2.65
Zn 0.1658 0.1658 0.8336  2 Zn 2.63-2.64, 1 Pt 2.65
Zn 0.3322 0.3322 0.1664  2 Zn 2.63-2.64, 1 Pt 2.65
Zn 0.1664 0.1664 0.3329  2 Zn 2.64, 1 Pt 2.65
Zn 0.8336 0.8336 0.6671  2 Zn 2.64, 1 Pt 2.65
Pt 0.6660 0.6660 0.3321  3 Zn 2.65
Pt 0.3340 0.3340 0.6679  3 Zn 2.65



An optimized crystal structure of Cs2YAgI. Source: Alexandria, functional PBE-GGA.

Output
**E_form (uncorrected)**: -0.0157 eV/atom
**V**: 56.600 Å³ per atom
**Distance to the lowest polymorph of the same formula**: 0.00 kcal/mol of atoms
**M_tot**: 0.01 μB per cell
**VASP energy**: -2.53 eV per atom

abc: 7.0294 5.7273 7.0294
angles: 90.00 90.00 90.00
Last column: nearest neighbours and their distance in Å.
Positions (direct):
Cs 0.0000 0.0000 0.5000  2 Ag 3.51
Cs 0.5000 0.0000 0.0000  2 Ag 3.51
I 0.5000 0.5000 0.5000  8 Cs 4.53, 4 Y 4.97
Y 0.0000 0.5000 0.0000  2 Ag 2.86
Ag 0.0000 0.0000 0.0000  2 Y 2.86



An optimized crystal structure of KLa3Cu. Source: Alexandria, functional PBE-GGA.

Output
**V**: 40.063 Å³ per atom
**Energy of formation**: 0.29 eV/atom
**Distance to the lowest polymorph of the same formula**: 0.00 kcal/mol of atoms
**M_tot**: 0.00 μB per cell
**VASP energy**: -3.71 eV per atom

abc: 5.8511 5.8511 5.8511
angles: 90.00 90.00 90.00
Last column: nearest neighbours and their distance in Å.
Positions (direct):
K 0.5000 0.5000 0.5000  12 La 4.14
Cu 0.0000 0.0000 0.0000  6 La 2.93
La 0.0000 0.5000 0.0000  2 Cu 2.93
La 0.0000 0.0000 0.5000  2 Cu 2.93
La 0.5000 0.0000 0.0000  2 Cu 2.93



An optimized crystal structure of MnInSi2. Source: Alexandria, functional PBE-GGA.

Output
**E_form (uncorrected)**: 0.6831 eV/atom
**V**: 15.346 Å³ per atom
**M_tot**: 0.00 μB per cell
**VASP energy**: -5.01 eV per atom

abc: 4.4278 4.4278 4.4278
angles: 60.00 60.00 60.00
Last column: nearest neighbours and their distance in Å.
Positions (direct):
Si 0.2500 0.2500 0.2500  4 Mn 2.71, 4 In 2.71
Si 0.7500 0.7500 0.7500  4 In 2.71, 4 Mn 2.71
Mn 0.0000 0.0000 0.0000  8 Si 2.71
In 0.5000 0.5000 0.5000  8 Si 2.71



An optimized crystal structure of La3Tb2Cd3. Source: Alexandria, functional PBE-GGA.

Output
**V**: 29.468 Å³ per atom
**Energy of formation**: -0.18 eV/atom
**Distance to the lowest polymorph of the same formula**: 1.49 kcal/mol of atoms
**M_tot**: 0.04 μB per cell
**VASP energy**: -3.53 eV per atom

abc: 3.4120 8.9321 8.9321
angles: 120.00 90.00 90.00
Last column: nearest neighbours and their distance in Å.
Positions (direct):
La 0.0000 0.7616 0.7616  4 La 3.41-3.69, 2 Tb 3.48, 6 Cd 3.52-3.69
La 0.0000 0.2384 0.0000  4 La 3.41-3.69, 2 Tb 3.48, 6 Cd 3.52-3.69
La 0.0000 0.0000 0.2384  4 La 3.41-3.69, 2 Tb 3.48, 6 Cd 3.52-3.69
Tb 0.0000 0.3333 0.6667  6 Cd 3.23, 2 Tb 3.41, 3 La 3.48
Tb 0.0000 0.6667 0.3333  6 Cd 3.23, 2 Tb 3.41, 3 La 3.48
Cd 0.5000 0.3958 0.3958  4 Tb 3.23, 2 Cd 3.41, 4 La 3.52
Cd 0.5000 0.6042 0.0000  4 Tb 3.23, 2 Cd 3.41, 4 La 3.52
Cd 0.5000 0.0000 0.6042  4 Tb 3.23, 2 Cd 3.41, 4 La 3.52



An optimized crystal structure of AgHgSb2Te. Source: Alexandria, functional PBE-GGA.

Output
**E_form (uncorrected)**: 0.8789 eV/atom
**V**: 35.102 Å³ per atom
**Distance to the lowest polymorph of the same formula**: 6.49 kcal/mol of atoms
**M_tot**: 0.36 μB per cell
**VASP energy**: -2.03 eV per atom

abc: 5.5302 5.5302 5.7387
angles: 90.00 90.00 90.00
Last column: nearest neighbours and their distance in Å.
Positions (direct):
Sb 0.0000 0.5000 0.0000  2 Hg 2.77
Sb 0.5000 0.0000 0.0000  2 Hg 2.77
Te 0.0000 0.0000 0.5000  2 Hg 2.87
Hg 0.0000 0.0000 0.0000  4 Sb 2.77, 2 Te 2.87
Ag 0.5000 0.5000 0.5000  4 Te 3.91, 8 Sb 3.98



An optimized crystal structure of TaHg2Te. Source: Alexandria, functional PBE-GGA.

Output
**E_form (uncorrected)**: 0.4512 eV/atom
**V**: 24.935 Å³ per atom
**M_tot**: 0.00 μB per cell
**VASP energy**: -3.45 eV per atom

abc: 3.0537 3.0537 10.6962
angles: 90.00 90.00 90.00
Last column: nearest neighbours and their distance in Å.
Positions (direct):
Hg 0.0000 0.0000 0.0568  4 Ta 2.99, 4 Hg 3.05
Hg 0.0000 0.0000 0.4432  4 Ta 2.99, 4 Hg 3.05
Ta 0.5000 0.5000 0.2500  8 Hg 2.99, 4 Ta 3.05
Te 0.5000 0.5000 0.7500  4 Te 3.05



An optimized crystal structure of CaMnOs. Source: Alexandria, functional PBE-GGA.

Output
**V**: 22.547 Å³ per atom
**Energy of formation**: 1.73 eV/atom
**Distance to the lowest polymorph of the same formula**: 31.68 kcal/mol of atoms
**M_tot**: 5.30 μB per cell
**VASP energy**: -5.74 eV per atom

abc: 4.5734 4.5734 4.5734
angles: 60.00 60.00 60.00
Last column: nearest neighbours and their distance in Å.
Positions (direct):
Ca 0.7500 0.7500 0.7500  4 Mn 2.80, 4 Os 2.80
Mn 0.0000 0.0000 0.0000  4 Ca 2.80
Os 0.5000 0.5000 0.5000  4 Ca 2.80



An optimized crystal structure of In2SiAu6. Source: Alexandria, functional PBE-GGA.

Output
**E_form (uncorrected)**: -0.0713 eV/atom
**V**: 20.064 Å³ per atom
**M_tot**: 0.00 μB per cell
**VASP energy**: -3.47 eV per atom

abc: 5.9171 5.9170 5.9273
angles: 71.40 71.40 71.06
Last column: nearest neighbours and their distance in Å.
Positions (direct):
In 0.2781 0.2781 0.2709  1 Si 2.95, 6 Au 2.95-3.01
In 0.7219 0.7219 0.7291  1 Si 2.95, 6 Au 2.95-3.01
Si 0.5000 0.5000 0.5000  6 Au 2.50-2.51
Au 0.2311 0.2311 0.8020  1 Si 2.51
Au 0.2350 0.8097 0.2302  1 Si 2.50
Au 0.7650 0.1903 0.7698  1 Si 2.50
Au 0.8097 0.2350 0.2302  1 Si 2.50
Au 0.1903 0.7650 0.7698  1 Si 2.50
Au 0.7689 0.7689 0.1980  1 Si 2.51



An optimized crystal structure of HgSb4W. Source: Alexandria, functional PBE-GGA.

Output
**E_form (uncorrected)**: 1.0967 eV/atom
**V**: 27.812 Å³ per atom
**M_tot**: 4.11 μB per cell
**VASP energy**: -3.86 eV per atom

abc: 6.1797 6.1797 6.1797
angles: 60.00 60.00 60.00
Last column: nearest neighbours and their distance in Å.
Positions (direct):
Hg 0.0000 0.0000 0.0000  12 Sb 3.62, 4 W 3.78
Sb 0.8774 0.3742 0.3742  6 Sb 3.07-3.11
Sb 0.3742 0.3742 0.8774  6 Sb 3.07-3.11
Sb 0.3742 0.8774 0.3742  6 Sb 3.07-3.11
Sb 0.3742 0.3742 0.3742  6 Sb 3.07-3.11
W 0.7500 0.7500 0.7500  12 Sb 3.63, 4 Hg 3.78



An optimized crystal structure of K2TmB2S6. Source: Alexandria, functional PBE-GGA.

Output
**E_form (uncorrected)**: -0.9620 eV/atom
**V**: 24.918 Å³ per atom
**M_tot**: 0.00 μB per cell
**VASP energy**: -5.03 eV per atom

abc: 6.5606 6.6248 8.2497
angles: 114.38 90.00 119.68
Last column: nearest neighbours and their distance in Å.
Positions (direct):
K 0.7024 0.4049 0.1864  9 S 3.30-3.56
K 0.2976 0.5951 0.8136  9 S 3.30-3.56
Tm 0.5000 0.0000 0.5000  6 S 2.66-2.71
B 0.9350 0.8699 0.7183  3 S 1.80-1.82
B 0.0650 0.1301 0.2817  3 S 1.80-1.82
S 0.7619 0.5238 0.6509  1 B 1.80
S 0.2044 0.9395 0.2316  1 B 1.82
S 0.2649 0.0605 0.7684  1 B 1.82
S 0.7956 0.0605 0.7684  1 B 1.82
S 0.7351 0.9395 0.2316  1 B 1.82
S 0.2381 0.4762 0.3491  1 B 1.80



An optimized crystal structure of Rb2PuI2O2. Source: Alexandria, functional PBE-GGA.

Output
**E_form (uncorrected)**: -1.8539 eV/atom
**V**: 29.211 Å³ per atom
**M_tot**: 4.00 μB per cell
**VASP energy**: -6.04 eV per atom

abc: 4.5249 4.5249 10.4870
angles: 102.46 102.46 90.00
Last column: nearest neighbours and their distance in Å.
Positions (direct):
Rb 0.3947 0.3947 0.7894  4 O 3.09, 4 I 3.40
Rb 0.6053 0.6053 0.2106  4 O 3.09, 4 I 3.40
Pu 0.0000 0.0000 0.0000  4 O 2.26
I 0.1636 0.1636 0.3272  1 Pu 3.27, 4 Rb 3.40
I 0.8364 0.8364 0.6728  1 Pu 3.27, 4 Rb 3.40
O 0.0000 0.5000 0.0000  2 Pu 2.26
O 0.5000 0.0000 0.0000  2 Pu 2.26